Below is a relaxed HfTa2F crystal, with properties calculated at the PBE level.

Cell and atoms, written as POSCAR:
```
HfTa2F
1.0
-2.870 -3.375 -2.738
3.603 -3.682 0.762
-2.541 -5.294 4.236
F Hf Ta
2 2 4
direct
0.500 0.500 0.000
0.250 0.750 0.500
0.000 0.000 0.000
0.750 0.250 0.500
0.440 0.125 0.250
0.310 0.625 0.250
0.375 0.560 0.750
0.875 0.690 0.750
```

Computed properties:
SG: I-42d
Crystal system: tetragonal
Energy above the most stable polymorph in this dataset (eV per atom): 0.061


Below is a relaxed HfTaF2 crystal, with properties calculated at the PBE level.

Cell and atoms, written as POSCAR:
```
HfTaF2
1.0
1.670 0.000 7.942
-0.835 1.446 7.942
-0.835 -1.446 7.942
F Hf Ta
2 1 1
direct
0.902 0.902 0.902
0.098 0.098 0.098
0.500 0.500 0.500
0.000 0.000 0.000
```

Computed properties:
SG: R-3m
Crystal system: trigonal
Energy above the most stable polymorph in this dataset (eV per atom): 0.000


Below is a relaxed Hf3TaF crystal, with properties calculated at the PBE level.

Cell and atoms, written as POSCAR:
```
Hf3TaF
1.0
-2.187 3.532 1.782
-2.028 -2.749 2.960
3.396 0.633 2.915
F Hf Ta
1 3 1
direct
0.000 0.000 0.000
0.000 0.500 0.000
0.000 0.000 0.500
0.500 0.000 0.000
0.500 0.500 0.500
```

Computed properties:
SG: Pm-3m
Crystal system: cubic
Energy above the most stable polymorph in this dataset (eV per atom): 0.000